[1]
The following is a PBE-GGA calculation of a relaxed structure of Ba2YRe, from Alexandria.

Structure (POSCAR):
```
Ba2YRe
1.0
4.675 0.000 0.000
0.000 4.675 0.000
0.000 0.000 11.114
Ba Y Re
4 2 2
Cartesian
0.000 2.338 2.778
0.000 2.338 8.335
2.338 0.000 2.778
2.338 0.000 8.335
0.000 0.000 0.000
2.338 2.338 5.557
0.000 0.000 5.557
2.338 2.338 0.000
```

Calculated values
Magnetization: 0.22 μB per formula unit
Formation energy from the elements: 1.016 eV/atom
Excess energy over the best structure of this formula in the dataset: 178 kJ/mol of formula units

=====

[2]
The following is a PBE-GGA calculation of a relaxed structure of Pa2SiRu, from Alexandria.

Structure (POSCAR):
```
Pa2SiRu
1.0
4.193 0.000 0.000
-2.096 3.631 0.000
0.000 0.000 15.668
Pa Si Ru
6 3 3
Cartesian
0.000 0.000 0.000
0.000 0.000 3.633
0.000 2.421 10.445
0.000 2.421 14.079
2.096 1.210 5.223
2.096 1.210 8.856
0.000 0.000 6.882
0.000 2.421 1.659
2.096 1.210 12.104
0.000 0.000 12.551
0.000 2.421 7.328
2.096 1.210 2.105
```

Calculated values
Magnetization: 0.00 μB per formula unit
Formation energy without anion corrections: -9.26 kcal/mol of atoms
Excess energy over the best structure of this formula in the dataset: 53 kJ/mol of formula units

=====

[3]
The following is a PBE-GGA calculation of a relaxed structure of Hf4OsC, from Alexandria.

Structure (POSCAR):
```
Hf4OsC
1.0
8.259 0.000 0.000
0.000 8.595 0.000
0.000 0.000 3.353
Hf Os C
8 2 2
Cartesian
0.000 1.998 0.000
0.000 6.597 0.000
1.529 4.298 1.677
2.600 0.000 1.677
4.130 2.300 0.000
4.130 6.296 0.000
5.659 0.000 1.677
6.730 4.298 1.677
0.000 0.000 1.677
4.130 4.298 1.677
0.000 4.298 0.000
4.130 0.000 0.000
```

Calculated values
Magnetization: 0.00 μB per formula unit
Formation energy from the elements: -0.152 eV/atom

=====

[4]
The following is a PBE-GGA calculation of a relaxed structure of ScGa2Re4, from Alexandria.

Structure (POSCAR):
```
ScGa2Re4
1.0
4.553 0.000 0.000
0.000 4.553 0.000
0.000 0.000 12.823
Sc Ga Re
2 4 8
Cartesian
0.000 0.000 0.000
2.277 2.277 6.411
0.000 0.000 4.885
0.000 0.000 7.938
2.277 2.277 1.526
2.277 2.277 11.297
0.000 0.000 2.450
0.000 0.000 10.373
0.000 2.277 0.000
0.000 2.277 6.411
2.277 0.000 0.000
2.277 0.000 6.411
2.277 2.277 3.961
2.277 2.277 8.862
```

Calculated values
Magnetization: 0.64 μB per formula unit
Formation energy from the elements: 1.969 eV/atom

=====

[5]
The following is a PBE-GGA calculation of a relaxed structure of Zn2RhSe, from Alexandria.

Structure (POSCAR):
```
Zn2RhSe
1.0
3.038 0.000 0.000
0.000 4.617 0.000
-0.032 0.000 4.573
Zn Rh Se
2 1 1
Cartesian
0.705 0.000 1.222
2.301 0.000 3.351
1.503 2.308 2.287
0.000 2.308 0.000
```

Calculated values
Magnetization: 0.00 μB per formula unit
Formation energy without anion corrections: -0.45 kcal/mol of atoms

=====

[6]
The following is a PBE-GGA calculation of a relaxed structure of Ho2BeGe4Pd3, from Alexandria.

Structure (POSCAR):
```
Ho2BeGe4Pd3
1.0
4.001 0.000 0.000
0.000 4.001 0.000
0.000 0.000 11.167
Ho Be Ge Pd
2 1 4 3
Cartesian
0.000 2.001 2.586
2.001 0.000 8.581
2.001 2.001 0.000
0.000 0.000 5.583
0.000 2.001 9.686
2.001 0.000 1.481
2.001 2.001 5.583
0.000 0.000 0.000
0.000 2.001 7.222
2.001 0.000 3.944
```

Calculated values
Magnetization: 0.00 μB per formula unit
Formation energy from the elements: -0.664 eV/atom

=====

[7]
The following is a PBE-GGA calculation of a relaxed structure of TlSeCl, from Alexandria.

Structure (POSCAR):
```
TlSeCl
1.0
3.409 0.000 0.000
0.000 3.409 0.000
0.000 0.000 14.482
Tl Se Cl
2 2 2
Cartesian
0.000 0.000 0.000
1.705 1.705 7.241
0.000 0.000 5.118
1.705 1.705 12.359
0.000 0.000 8.975
1.705 1.705 1.734
```

Calculated values
Magnetization: 0.00 μB per formula unit
Formation energy without anion corrections: -1.38 kcal/mol of atoms

=====

[8]
The following is a PBE-GGA calculation of a relaxed structure of Mn2SbRh, from Alexandria.

Structure (POSCAR):
```
Mn2SbRh
1.0
3.889 0.000 0.000
0.000 3.889 0.000
0.000 0.000 4.019
Mn Sb Rh
2 1 1
Cartesian
0.000 1.945 0.000
1.945 0.000 0.000
0.000 0.000 2.009
1.945 1.945 2.009
```

Calculated values
Magnetization: 6.09 μB per formula unit
Formation energy without anion corrections: -1.68 kcal/mol of atoms

=====

Number 1: DFT total energy -37.39 eV for the cell shown. Number 2: DFT total energy -105.89 eV for the cell shown. Number 3: DFT total energy -122.36 eV for the cell shown. Number 4: DFT total energy -96.78 eV for the cell shown. Number 5: DFT total energy -13.46 eV for the cell shown. Number 6: DFT total energy -53.57 eV for the cell shown. Number 7: DFT total energy -15.75 eV for the cell shown. Number 8: DFT total energy -30.10 eV for the cell shown.